Record 1
# Li5Ca2Ga5 | Alexandria via LeMat-Bulk | PBE | relaxed
# total magnetic moment = 0.00 μB per formula unit
# volume = 236.12 Å³ per cell
# ΔE_f = -0.296 eV per atom
# final energy = -0.0988 hartree per atom
# symmetry = No. 47
# crystal system = orthorhombic
# density of states at the Fermi level = 6.22 states/eV/cell
data_Li5Ca2Ga5
_symmetry_space_group_name_H-M 'P 1'
_symmetry_Int_Tables_number 1
_cell_length_a 4.458
_cell_length_b 5.623
_cell_length_c 9.419
_cell_angle_alpha 90.00
_cell_angle_beta 90.00
_cell_angle_gamma 90.00
loop_
_symmetry_equiv_pos_as_xyz
'x,y,z'
loop_
_atom_site_label
_atom_site_type_symbol
_atom_site_fract_x
_atom_site_fract_y
_atom_site_fract_z
Li1 Li 0.500 0.500 0.500
Li2 Li 0.500 0.746 0.243
Li3 Li 0.500 0.254 0.757
Li4 Li 0.500 0.254 0.243
Li5 Li 0.500 0.746 0.757
Ca1 Ca 0.000 0.500 0.000
Ca2 Ca 0.000 0.000 0.500
Ga1 Ga 0.000 0.500 0.340
Ga2 Ga 0.000 0.000 0.829
Ga3 Ga 0.000 0.000 0.171
Ga4 Ga 0.000 0.500 0.660
Ga5 Ga 0.500 0.000 0.000

***

Record 2
# Dy4In5Pt2 | Alexandria via LeMat-Bulk | PBE | relaxed
# total magnetic moment = 0.00 μB per formula unit
# volume = 272.12 Å³ per cell
# ΔE_f = -0.742 eV per atom
# final energy = -0.1749 hartree per atom
# symmetry = No. 10
# crystal system = monoclinic
# density of states at the Fermi level = 5.67 states/eV/cell
data_Dy4In5Pt2
_symmetry_space_group_name_H-M 'P 1'
_symmetry_Int_Tables_number 1
_cell_length_a 3.637
_cell_length_b 7.728
_cell_length_c 9.709
_cell_angle_alpha 94.26
_cell_angle_beta 90.00
_cell_angle_gamma 90.00
loop_
_symmetry_equiv_pos_as_xyz
'x,y,z'
loop_
_atom_site_label
_atom_site_type_symbol
_atom_site_fract_x
_atom_site_fract_y
_atom_site_fract_z
Dy1 Dy 0.500 0.779 0.561
Dy2 Dy 0.500 0.179 0.856
Dy3 Dy 0.500 0.221 0.439
Dy4 Dy 0.500 0.821 0.144
In1 In 0.000 0.544 0.323
In2 In 0.000 0.172 0.148
In3 In 0.000 0.500 0.000
In4 In 0.000 0.828 0.852
In5 In 0.000 0.456 0.677
Pt1 Pt 0.000 0.075 0.640
Pt2 Pt 0.000 0.925 0.360